A plane-wave DFT calculation with PBE was carried out for a geometry-optimized BaLaO2 structure.

```
data_BaLaO2
_space_group_name_H-M_alt 'I -4 2 d'
_space_group_IT_number 122
_space_group_name_Hall 'I -4 2bw'
_cell_length_a 5.920
_cell_length_b 5.920
_cell_length_c 11.493
_cell_angle_alpha 90.00
_cell_angle_beta 90.00
_cell_angle_gamma 90.00
loop_
_atom_site_label
_atom_site_type_symbol
_atom_site_fract_x
_atom_site_fract_y
_atom_site_fract_z
Ba1 Ba 0.000 0.000 0.000
La1 La 0.000 0.000 0.500
O1 O 0.197 0.250 0.625
```

Values from the calculation:
total magnetic moment = 3.28 μB per cell
total energy = -0.248 hartree per atom
formation energy (no corrections) = -2.55 eV per atom